Material: RbSe
Method: DFT, PBE
State: optimized geometry

Cell: 6.021 6.021 6.967 Å, 90.00 90.00 120.00°
Site moments in Bohr magnetons follow the coordinates.
Sites, in units of the cell vectors:
1 Rb 0.667 0.333 0.250  0.01
2 Se 0.667 0.333 0.750  0.54
3 Rb 0.333 0.667 0.750  0.01
4 Se 0.333 0.667 0.250  0.54

Values from the calculation:
Density: 2.496 g/cm³
D(E_F): 2.7339 states/eV/atom
Raw formation energy: -0.39 eV per atom
Electronic total energy: -2.619 eV per atom